A plane-wave DFT calculation with PBE was carried out for crystalline ZrAu2Cl6 at its relaxed geometry.

```
ZrAu2Cl6
1.0
6.244 -0.020 -0.372
-0.564 10.057 -0.339
0.023 -0.062 10.078
Cl Zr Au
12 2 4
direct
0.094 0.154 0.046
0.622 0.301 0.920
0.043 0.500 0.738
0.906 0.846 0.954
0.122 0.920 0.301
0.957 0.500 0.262
0.406 0.954 0.846
0.594 0.046 0.154
0.378 0.699 0.080
0.543 0.738 0.500
0.457 0.262 0.500
0.878 0.080 0.699
0.750 0.087 0.913
0.250 0.913 0.087
0.290 0.613 0.612
0.210 0.388 0.387
0.790 0.612 0.613
0.710 0.387 0.388
```

Summary:
- crystal system = monoclinic
- formation energy (no corrections) (eV per atom) = -1.071
- symmetry = C2/c, No. 15
- calculated volume (Å³ per cell) = 632.7

=====

A plane-wave DFT calculation with PBE was carried out for crystalline ZrAuCl2 at its relaxed geometry.

```
ZrAuCl2
1.0
5.490 -0.001 -0.004
-2.866 4.769 0.000
-0.243 1.128 3.077
Zr Cl Au
1 2 1
direct
0.000 0.500 0.500
0.500 0.000 0.500
0.000 0.000 0.000
0.500 0.500 0.000
```

Summary:
- ΔE to the lowest computed polymorph (meV per atom) = 585.9
- crystal system = monoclinic
- formation energy (no corrections) (eV per atom) = -0.410
- symmetry = C2/m, No. 12
- calculated volume (Å³ per cell) = 80.6

=====

A plane-wave DFT calculation with PBE was carried out for crystalline ZrAuCl2 at its relaxed geometry.

```
ZrAuCl2
1.0
-1.159 -4.704 -0.235
0.468 -2.812 3.925
-3.947 -1.643 2.292
Au Zr Cl
1 1 2
direct
0.500 0.500 0.500
0.750 0.750 0.750
0.000 0.000 0.000
0.250 0.250 0.250
```

Summary:
- ΔE to the lowest computed polymorph (meV per atom) = 663.6
- crystal system = cubic
- formation energy (no corrections) (eV per atom) = -0.332
- symmetry = F-43m, No. 216
- calculated volume (Å³ per cell) = 80.7

=====

A plane-wave DFT calculation with PBE was carried out for crystalline ZrAuCl2 at its relaxed geometry.

```
ZrAuCl2
1.0
-0.079 1.283 2.813
-2.349 -1.855 0.780
6.584 -6.930 3.347
Au Cl Zr
1 2 1
direct
0.500 0.500 0.750
0.000 0.000 0.407
0.000 0.000 0.093
0.500 0.500 0.250
```

Summary:
- ΔE to the lowest computed polymorph (meV per atom) = 246.0
- crystal system = tetragonal
- formation energy (no corrections) (eV per atom) = -0.750
- symmetry = P4/mmm, No. 123
- calculated volume (Å³ per cell) = 96.9

=====

A plane-wave DFT calculation with PBE was carried out for crystalline ZrAuCl6 at its relaxed geometry.

```
ZrAuCl6
1.0
-2.171 -4.853 -2.420
-3.045 -4.775 5.183
-7.267 -0.736 1.626
Cl Zr Au
6 1 1
direct
0.191 0.853 0.338
0.144 0.357 0.805
0.856 0.643 0.195
0.809 0.147 0.662
0.371 0.826 0.840
0.629 0.174 0.160
0.000 0.000 0.000
0.500 0.500 0.500
```

Summary:
- crystal system = triclinic
- formation energy (no corrections) (eV per atom) = -1.120
- symmetry = P-1, No. 2
- calculated volume (Å³ per cell) = 245.8

=====

A plane-wave DFT calculation with PBE was carried out for crystalline ZrAu3Cl at its relaxed geometry.

```
ZrAu3Cl
1.0
4.866 0.000 0.000
0.000 4.866 0.000
0.000 0.000 4.866
Au Zr Cl
3 1 1
direct
0.500 0.000 0.000
0.000 0.500 0.000
0.000 0.000 0.500
0.500 0.500 0.500
0.000 0.000 0.000
```

Summary:
- ΔE to the lowest computed polymorph (meV per atom) = 260.2
- crystal system = cubic
- formation energy (no corrections) (eV per atom) = 0.930
- symmetry = Pm-3m, No. 221
- calculated volume (Å³ per cell) = 115.2

=====

A plane-wave DFT calculation with PBE was carried out for crystalline ZrAuCl2 at its relaxed geometry.

```
ZrAuCl2
1.0
-0.920 2.876 -1.467
-4.131 -1.252 0.136
-2.764 2.601 6.834
Au Cl Zr
1 2 1
direct
0.500 0.711 0.704
0.500 0.401 0.316
0.000 0.115 0.902
0.000 0.273 0.577
```

Summary:
- ΔE to the lowest computed polymorph (meV per atom) = 12.5
- crystal system = monoclinic
- formation energy (no corrections) (eV per atom) = -0.984
- symmetry = Pm, No. 6
- calculated volume (Å³ per cell) = 109.2

=====

A plane-wave DFT calculation with PBE was carried out for crystalline ZrAuCl at its relaxed geometry.

```
ZrAuCl
1.0
4.584 0.000 0.000
2.292 3.970 0.000
2.292 1.323 3.743
Cl Au Zr
1 1 1
direct
0.500 0.500 0.500
0.000 0.000 0.000
0.750 0.750 0.750
```

Summary:
- ΔE to the lowest computed polymorph (meV per atom) = 427.6
- crystal system = cubic
- formation energy (no corrections) (eV per atom) = -0.352
- symmetry = F-43m, No. 216
- calculated volume (Å³ per cell) = 68.1

=====

A plane-wave DFT calculation with PBE was carried out for crystalline Zr2AuCl at its relaxed geometry.

```
Zr2AuCl
1.0
2.990 2.686 2.658
-1.702 2.515 3.741
1.088 -1.340 4.499
Zr Au Cl
2 1 1
direct
0.750 0.750 0.750
0.250 0.250 0.250
0.500 0.500 0.500
0.000 0.000 0.000
```

Summary:
- ΔE to the lowest computed polymorph (meV per atom) = 260.3
- crystal system = cubic
- formation energy (no corrections) (eV per atom) = -0.396
- symmetry = Fm-3m, No. 225
- calculated volume (Å³ per cell) = 79.1

=====

A plane-wave DFT calculation with PBE was carried out for crystalline ZrAu2Cl at its relaxed geometry.

```
ZrAu2Cl
1.0
5.131 -0.009 0.008
4.151 3.016 0.008
2.447 0.793 5.575
Zr Au Cl
1 2 1
direct
0.737 0.737 0.627
0.269 0.269 0.222
0.049 0.049 0.026
0.445 0.445 0.625
```

Summary:
- ΔE to the lowest computed polymorph (meV per atom) = 88.0
- crystal system = monoclinic
- formation energy (no corrections) (eV per atom) = -0.497
- symmetry = Cm, No. 8
- calculated volume (Å³ per cell) = 86.4

=====

A plane-wave DFT calculation with PBE was carried out for crystalline ZrAuCl2 at its relaxed geometry.

```
ZrAuCl2
1.0
-1.089 -4.642 -0.049
3.403 -3.238 -0.818
1.491 -2.836 3.531
Au Zr Cl
1 1 2
direct
0.000 0.000 0.000
0.500 0.500 0.500
0.250 0.250 0.250
0.750 0.750 0.750
```

Summary:
- ΔE to the lowest computed polymorph (meV per atom) = 684.2
- crystal system = cubic
- formation energy (no corrections) (eV per atom) = -0.312
- symmetry = Fm-3m, No. 225
- calculated volume (Å³ per cell) = 76.7

=====

A plane-wave DFT calculation with PBE was carried out for crystalline ZrAuCl2 at its relaxed geometry.

```
ZrAuCl2
1.0
3.310 0.000 0.000
0.000 3.308 0.000
0.000 0.000 8.105
Cl Au Zr
2 1 1
direct
0.500 0.500 0.321
0.000 0.000 0.925
0.500 0.500 0.731
0.000 0.000 0.522
```

Summary:
- ΔE to the lowest computed polymorph (meV per atom) = 192.2
- crystal system = tetragonal
- formation energy (no corrections) (eV per atom) = -0.804
- symmetry = P4mm, No. 99
- calculated volume (Å³ per cell) = 88.7